No. 1
VASP calculation (PBEsol) on an optimized crystal structure of BeSi.

Computed properties:
* calculated total energy: -17.78 eV/cell
* energy above the most stable polymorph in this dataset: 0.133 eV/atom
* M_tot: 0.000 μB/cell
* DOS at the Fermi energy: 0.32 states/eV/atom

Cell lengths 3.570, 3.570, 4.780 Å; angles 90.00, 90.00, 120.00 degrees
Positions (direct):
Be 0.333 0.667 0.250
Be 0.667 0.333 0.750
Si 0.000 0.000 0.000
Si 0.000 0.000 0.500

---

No. 2
VASP calculation (PBEsol) on an optimized crystal structure of SrBeSi2.

Computed properties:
* calculated total energy: -17.06 eV/cell
* M_tot: 0.000 μB/cell
* DOS at the Fermi energy: 0.32 states/eV/atom

Cell lengths 3.077, 3.491, 6.615 Å; angles 90.00, 90.00, 90.00 degrees
Positions (direct):
Sr 0.000 0.000 0.000
Be 0.000 0.000 0.500
Si 0.500 0.500 0.327
Si 0.500 0.500 0.673

---

No. 3
VASP calculation (PBEsol) on an optimized crystal structure of SrBe2Si.

Computed properties:
* calculated total energy: -28.38 eV/cell
* M_tot: 0.000 μB/cell
* DOS at the Fermi energy: 0.61 states/eV/atom

Cell lengths 3.840, 5.722, 6.910 Å; angles 90.00, 90.00, 90.00 degrees
Positions (direct):
Sr 0.000 0.000 0.000
Sr 0.500 0.500 0.500
Be 0.000 0.500 0.156
Be 0.000 0.500 0.844
Be 0.500 0.000 0.344
Be 0.500 0.000 0.656
Si 0.000 0.000 0.500
Si 0.500 0.500 0.000

---

No. 4
VASP calculation (PBEsol) on an optimized crystal structure of SrBeSi3.

Computed properties:
* calculated total energy: -12.04 eV/cell
* M_tot: 0.005 μB/cell
* DOS at the Fermi energy: 1.52 states/eV/atom

Cell lengths 5.410, 5.410, 5.410 Å; angles 90.00, 90.00, 90.00 degrees
Positions (direct):
Sr 0.000 0.000 0.000
Be 0.500 0.500 0.500
Si 0.000 0.000 0.500
Si 0.000 0.500 0.000
Si 0.500 0.000 0.000

---

No. 5
VASP calculation (PBEsol) on an optimized crystal structure of SrBeSi.

Computed properties:
* calculated total energy: -12.42 eV/cell
* M_tot: 0.000 μB/cell
* DOS at the Fermi energy: 0.37 states/eV/atom

Cell lengths 3.988, 3.988, 4.564 Å; angles 90.00, 90.00, 120.00 degrees
Positions (direct):
Sr 0.000 0.000 0.000
Be 0.333 0.667 0.500
Si 0.667 0.333 0.500

---

No. 6
VASP calculation (PBEsol) on an optimized crystal structure of SrBeSi2.

Computed properties:
* calculated total energy: -35.99 eV/cell
* M_tot: 0.000 μB/cell
* DOS at the Fermi energy: 0.25 states/eV/atom

Cell lengths 7.317, 3.735, 5.864 Å; angles 90.00, 107.63, 90.00 degrees
Positions (direct):
Sr 0.000 0.000 0.000
Sr 0.500 0.500 0.000
Be 0.000 0.500 0.500
Be 0.500 0.000 0.500
Si 0.228 0.000 0.624
Si 0.272 0.500 0.376
Si 0.728 0.500 0.624
Si 0.772 0.000 0.376

---

No. 7
VASP calculation (PBEsol) on an optimized crystal structure of Sr2BeSi.

Computed properties:
* calculated total energy: -27.88 eV/cell
* energy above the most stable polymorph in this dataset: 0.000 eV/atom
* M_tot: 0.000 μB/cell
* DOS at the Fermi energy: 0.57 states/eV/atom

Cell lengths 4.064, 4.553, 11.918 Å; angles 90.00, 90.00, 90.00 degrees
Positions (direct):
Sr 0.000 0.000 0.000
Sr 0.000 0.500 0.500
Sr 0.500 0.000 0.281
Sr 0.500 0.500 0.781
Be 0.000 0.000 0.677
Be 0.000 0.500 0.177
Si 0.500 0.000 0.589
Si 0.500 0.500 0.089

---

No. 8
VASP calculation (PBEsol) on an optimized crystal structure of Sr2BeSi.

Computed properties:
* calculated total energy: -41.08 eV/cell
* energy above the most stable polymorph in this dataset: 0.918 eV/atom
* M_tot: 0.008 μB/cell
* DOS at the Fermi energy: 1.19 states/eV/atom

Cell lengths 5.242, 5.242, 19.209 Å; angles 90.00, 90.00, 90.00 degrees
Positions (direct):
Sr 0.250 0.250 0.125
Sr 0.250 0.250 0.625
Sr 0.250 0.750 0.375
Sr 0.250 0.750 0.875
Sr 0.750 0.250 0.375
Sr 0.750 0.250 0.875
Sr 0.750 0.750 0.125
Sr 0.750 0.750 0.625
Be 0.000 0.000 0.000
Be 0.000 0.500 0.250
Be 0.500 0.000 0.750
Be 0.500 0.500 0.500
Si 0.000 0.000 0.500
Si 0.000 0.500 0.750
Si 0.500 0.000 0.250
Si 0.500 0.500 0.000